! Si2AgPb | Alexandria via LeMat-Bulk | PBE | relaxed; values from VASP
&SYSTEM
  ibrav = 0, nat = 4, ntyp = 3
/
ATOMIC_SPECIES
Si 28.09 Si.upf
Ag 107.87 Ag.upf
Pb 207.20 Pb.upf
CELL_PARAMETERS angstrom
-1.684 -2.188 -1.640
-1.076 -1.405 2.979
-5.813 4.467 0.007
ATOMIC_POSITIONS angstrom
Si -2.630 -0.836 0.671
Si -0.507 0.390 0.001
Ag -2.642 2.030 0.003
Pb -5.699 1.523 0.674
! DFT total energy: -15.992 eV/cell
! E_form (uncorrected): 0.35 eV per atom
! space group: Pmm2 (25)
! DOS at the Fermi energy: 1.5 states/eV/cell
! M_tot: 0.000 μB per cell

***

! Si2AgPb | Alexandria via LeMat-Bulk | PBE | relaxed; values from VASP
&SYSTEM
  ibrav = 0, nat = 4, ntyp = 3
/
ATOMIC_SPECIES
Pb 207.20 Pb.upf
Si 28.09 Si.upf
Ag 107.87 Ag.upf
CELL_PARAMETERS angstrom
5.401 -0.067 0.054
1.312 5.240 -0.054
-2.550 -3.632 3.079
ATOMIC_POSITIONS angstrom
Pb 3.147 -0.523 1.567
Si 0.359 0.276 0.000
Si 0.922 1.991 1.512
Ag 3.091 2.382 0.000
! DFT total energy: -15.612 eV/cell
! E_form (uncorrected): 0.45 eV per atom
! space group: Imm2 (44)
! DOS at the Fermi energy: 1.6 states/eV/cell
! M_tot: 0.000 μB per cell

***

! Si2AgPb | Alexandria via LeMat-Bulk | PBE | relaxed; values from VASP
&SYSTEM
  ibrav = 0, nat = 4, ntyp = 3
/
ATOMIC_SPECIES
Si 28.09 Si.upf
Pb 207.20 Pb.upf
Ag 107.87 Ag.upf
CELL_PARAMETERS angstrom
5.603 -0.379 0.000
-2.339 5.105 0.000
0.000 0.000 3.012
ATOMIC_POSITIONS angstrom
Si 0.000 0.000 0.000
Pb -1.170 2.553 1.506
Si 1.632 2.363 0.000
Ag 2.801 -0.190 1.506
! DFT total energy: -15.017 eV/cell
! E_form (uncorrected): 0.60 eV per atom
! space group: Cmmm (65)
! DOS at the Fermi energy: 1.3 states/eV/cell
! M_tot: 0.000 μB per cell

***

! Si2Ag2Pb | Alexandria via LeMat-Bulk | PBE | relaxed; values from VASP
&SYSTEM
  ibrav = 0, nat = 10, ntyp = 3
/
ATOMIC_SPECIES
Si 28.09 Si.upf
Pb 207.20 Pb.upf
Ag 107.87 Ag.upf
CELL_PARAMETERS angstrom
8.207 0.000 0.000
0.000 8.207 0.000
0.000 0.000 2.979
ATOMIC_POSITIONS angstrom
Si 1.242 2.862 0.000
Pb 0.000 0.000 0.000
Pb 4.104 4.104 0.000
Ag 5.244 7.067 1.489
Ag 7.067 2.963 1.489
Ag 2.963 1.140 1.489
Si 5.345 1.242 0.000
Si 2.862 6.965 0.000
Si 6.965 5.345 0.000
Ag 1.140 5.244 1.489
! DFT total energy: -36.505 eV/cell
! E_form (uncorrected): 0.40 eV per atom
! space group: P4/mbm (127)
! DOS at the Fermi energy: 5.0 states/eV/cell
! M_tot: 0.000 μB per cell

***

! Si2AgPb | Alexandria via LeMat-Bulk | PBE | relaxed; values from VASP
&SYSTEM
  ibrav = 0, nat = 4, ntyp = 3
/
ATOMIC_SPECIES
Ag 107.87 Ag.upf
Si 28.09 Si.upf
Pb 207.20 Pb.upf
CELL_PARAMETERS angstrom
-3.388 4.917 -0.600
-2.773 0.933 -5.240
0.837 -3.210 5.002
ATOMIC_POSITIONS angstrom
Ag -2.508 0.324 -1.579
Si -0.152 0.144 -0.144
Pb -2.816 2.316 0.741
Si -2.928 2.781 -2.776
! DFT total energy: -15.226 eV/cell
! E_form (uncorrected): 0.55 eV per atom
! space group: Immm (71)
! DOS at the Fermi energy: 1.7 states/eV/cell
! M_tot: 0.000 μB per cell

***

! Si2AgPb | Alexandria via LeMat-Bulk | PBE | relaxed; values from VASP
&SYSTEM
  ibrav = 0, nat = 4, ntyp = 3
/
ATOMIC_SPECIES
Pb 207.20 Pb.upf
Si 28.09 Si.upf
Ag 107.87 Ag.upf
CELL_PARAMETERS angstrom
-0.700 -2.315 -2.617
2.326 -2.299 1.415
-4.881 -2.677 3.674
ATOMIC_POSITIONS angstrom
Pb -2.847 -4.315 2.155
Si -0.327 -0.179 0.246
Si -2.114 -1.159 1.591
Ag -0.407 -2.976 0.318
! DFT total energy: -15.624 eV/cell
! E_form (uncorrected): 0.45 eV per atom
! space group: P4/mmm (123)
! DOS at the Fermi energy: 1.6 states/eV/cell
! M_tot: 0.000 μB per cell

***

! Si2AgPb2 | Alexandria via LeMat-Bulk | PBE | relaxed; values from VASP
&SYSTEM
  ibrav = 0, nat = 10, ntyp = 3
/
ATOMIC_SPECIES
Pb 207.20 Pb.upf
Si 28.09 Si.upf
Ag 107.87 Ag.upf
CELL_PARAMETERS angstrom
-3.685 -5.135 2.542
4.937 -1.311 4.508
-2.112 3.108 3.218
ATOMIC_POSITIONS angstrom
Pb 1.648 -0.317 5.191
Pb -2.508 -3.022 5.076
Si -0.135 -5.312 5.042
Si 2.937 -3.071 4.895
Si -1.685 -3.376 2.155
Pb -1.273 -0.293 3.250
Ag 0.000 0.000 0.000
Pb 0.413 -3.046 7.017
Si 1.387 -1.135 2.007
Ag 0.626 -3.223 3.525
! DFT total energy: -39.270 eV/cell
! E_form (uncorrected): 0.30 eV per atom
! space group: P4/mbm (127)
! DOS at the Fermi energy: 3.9 states/eV/cell
! M_tot: 0.000 μB per cell

***

! Si2AgPb | Alexandria via LeMat-Bulk | PBE | relaxed; values from VASP
&SYSTEM
  ibrav = 0, nat = 4, ntyp = 3
/
ATOMIC_SPECIES
Ag 107.87 Ag.upf
Pb 207.20 Pb.upf
Si 28.09 Si.upf
CELL_PARAMETERS angstrom
-2.516 -1.065 -2.579
-2.444 -2.750 0.762
-6.130 3.663 1.978
ATOMIC_POSITIONS angstrom
Ag -5.764 0.175 0.212
Pb -2.715 -0.049 0.033
Si -8.494 0.068 0.216
Si -5.792 3.240 1.758
! DFT total energy: -16.363 eV/cell
! E_form (uncorrected): 0.26 eV per atom
! space group: Cm (8)
! DOS at the Fermi energy: 1.5 states/eV/cell
! M_tot: 0.000 μB per cell